1.
A geometry-optimized Zr2TaSi2 structure. Source: the Alexandria database, functional PBE. Values from VASP.

Values from the calculation:
ΔE_f (raw) in eV per formula unit: -4.16

Quantum ESPRESSO input file:
```
&SYSTEM
  ibrav = 0, nat = 10, ntyp = 3
/
ATOMIC_SPECIES
Zr 91.22 Zr.upf
Ta 180.95 Ta.upf
Si 28.09 Si.upf
CELL_PARAMETERS angstrom
6.8821 0.0000 0.0000
0.0000 6.8821 0.0000
0.0000 0.0000 3.7464
ATOMIC_POSITIONS crystal
Zr 0.1749 0.3251 0.0000
Zr 0.3251 0.8251 0.0000
Zr 0.6749 0.1749 0.0000
Zr 0.8251 0.6749 0.0000
Ta 0.0000 0.0000 0.5000
Ta 0.5000 0.5000 0.5000
Si 0.1253 0.6253 0.5000
Si 0.3747 0.1253 0.5000
Si 0.6253 0.8747 0.5000
Si 0.8747 0.3747 0.5000
```

***

2.
A geometry-optimized La2TlCoRh structure. Source: the Alexandria database, functional PBE. Values from VASP.

Values from the calculation:
DFT formation energy in kcal/mol of atoms: -2.518

Quantum ESPRESSO input file:
```
&SYSTEM
  ibrav = 0, nat = 5, ntyp = 4
/
ATOMIC_SPECIES
La 138.91 La.upf
Tl 204.38 Tl.upf
Co 58.93 Co.upf
Rh 102.91 Rh.upf
CELL_PARAMETERS angstrom
5.3584 0.0000 0.0000
0.0000 5.3584 0.0000
0.0000 0.0000 4.5881
ATOMIC_POSITIONS crystal
La 0.0000 0.5000 0.0000
La 0.5000 0.0000 0.0000
Tl 0.0000 0.0000 0.5000
Co 0.5000 0.5000 0.0000
Rh 0.5000 0.5000 0.5000
```

***

3.
A geometry-optimized CrRe2Si structure. Source: the Alexandria database, functional PBE. Values from VASP.

Values from the calculation:
ΔE_f (raw) in eV per formula unit: -0.40

Quantum ESPRESSO input file:
```
&SYSTEM
  ibrav = 0, nat = 4, ntyp = 3
/
ATOMIC_SPECIES
Cr 52.00 Cr.upf
Re 186.21 Re.upf
Si 28.09 Si.upf
CELL_PARAMETERS angstrom
3.0019 0.0000 0.0000
0.0000 3.0019 0.0000
0.0000 0.0000 5.9263
ATOMIC_POSITIONS crystal
Cr 0.0000 0.0000 0.0000
Re 0.0000 0.0000 0.5263
Re 0.5000 0.5000 0.2280
Si 0.5000 0.5000 0.7672
```

***

4.
A geometry-optimized FeCuRe structure. Source: the Alexandria database, functional PBE. Values from VASP.

Values from the calculation:
DFT formation energy in kcal/mol of atoms: 14.167

Quantum ESPRESSO input file:
```
&SYSTEM
  ibrav = 0, nat = 3, ntyp = 3
/
ATOMIC_SPECIES
Fe 55.84 Fe.upf
Cu 63.55 Cu.upf
Re 186.21 Re.upf
CELL_PARAMETERS angstrom
0.0000 2.7814 2.7814
2.7814 0.0000 2.7814
2.7814 2.7814 0.0000
ATOMIC_POSITIONS crystal
Fe 0.0000 0.0000 0.0000
Cu 0.7500 0.7500 0.7500
Re 0.2500 0.2500 0.2500
```

***

no.,total magnetization (μB/atom)
1,0.00
2,0.00
3,0.00
4,0.53